# 1
Y3CrF, PBEsol geometry, DFT SCAN; spin magnetization = 0.3295 μB per atom; VASP energy = -20.994 eV/atom; calculated volume = 135 Å³ per cell; space-group type = Pm-3m, No. 221; formation energy (no corrections) = 96.3 meV per atom
1.0
-1.761 4.430 1.892
-4.575 -0.907 -2.133
-1.508 -2.420 4.263
Y Cr F
3 1 1
direct
0.000 0.500 0.000
0.000 0.000 0.500
0.500 0.000 0.000
0.000 0.000 0.000
0.500 0.500 0.500



# 2
ZnCrF6, PBEsol geometry, DFT SCAN; spin magnetization = 0.2500 μB per atom; VASP energy = -9.279 eV/atom; calculated volume = 95 Å³ per cell; space-group type = R-3, No. 148; formation energy (no corrections) = -2636.9 meV per atom
1.0
4.981 0.000 0.000
2.491 4.314 0.000
2.491 1.438 4.444
Cr Zn F
1 1 6
direct
0.500 0.500 0.500
0.000 0.000 0.000
0.265 0.610 0.262
0.390 0.138 0.738
0.610 0.862 0.262
0.862 0.265 0.262
0.735 0.390 0.738
0.138 0.735 0.738



# 3
ZnCr2F, PBEsol geometry, DFT SCAN; spin magnetization = 2.2888 μB per atom; VASP energy = -13.586 eV/atom; calculated volume = 58 Å³ per cell; space-group type = Fm-3m, No. 225; formation energy (no corrections) = -130.0 meV per atom
1.0
-2.985 2.967 -1.126
-3.941 -0.063 1.856
-1.133 3.127 2.814
Cr Zn F
2 1 1
direct
0.250 0.250 0.250
0.750 0.750 0.750
0.500 0.500 0.500
0.000 0.000 0.000



# 4
ZnCrF5, PBEsol geometry, DFT SCAN; spin magnetization = 0.4286 μB per atom; VASP energy = -9.898 eV/atom; calculated volume = 169 Å³ per cell; space-group type = C2/c, No. 15; formation energy (no corrections) = -2812.3 meV per atom
1.0
-4.105 -1.646 -2.695
-3.758 -0.985 3.425
-5.078 5.215 -0.275
Zn Cr F
2 2 10
direct
0.524 0.476 0.750
0.476 0.524 0.250
0.000 0.000 0.000
0.000 0.000 0.500
0.099 0.901 0.250
0.901 0.099 0.750
0.193 0.300 0.364
0.700 0.807 0.136
0.730 0.331 0.032
0.669 0.270 0.468
0.270 0.669 0.968
0.331 0.730 0.532
0.300 0.193 0.864
0.807 0.700 0.636



# 5
ZnCr2F12, PBEsol geometry, DFT SCAN; spin magnetization = 0.1333 μB per atom; VASP energy = -8.554 eV/atom; calculated volume = 186 Å³ per cell; space-group type = P-1, No. 2; formation energy (no corrections) = -2369.4 meV per atom
1.0
-0.732 -4.632 1.430
4.174 -3.121 0.309
3.670 1.710 7.604
Zn Cr F
1 2 12
direct
0.500 0.000 0.500
0.239 0.491 0.759
0.761 0.509 0.241
0.066 0.264 0.795
0.577 0.267 0.305
0.488 0.267 0.633
0.004 0.271 0.138
0.522 0.271 0.925
0.039 0.263 0.430
0.961 0.737 0.570
0.478 0.729 0.075
0.996 0.729 0.862
0.512 0.733 0.367
0.423 0.733 0.695
0.934 0.736 0.205



# 6
ZrCrF6, PBEsol geometry, DFT SCAN; spin magnetization = 0.5000 μB per atom; VASP energy = -12.225 eV/atom; calculated volume = 135 Å³ per cell; space-group type = Fm-3m, No. 225; formation energy (no corrections) = -3434.3 meV per atom
1.0
-3.060 3.390 -3.506
-0.775 -1.502 -5.503
-5.196 -1.684 -1.820
Cr Zr F
1 1 6
direct
0.000 0.000 0.000
0.500 0.500 0.500
0.747 0.253 0.253
0.747 0.253 0.747
0.253 0.747 0.253
0.253 0.747 0.747
0.253 0.253 0.747
0.747 0.747 0.253



# 7
CrFe, PBEsol geometry, DFT SCAN; spin magnetization = 0.0001 μB per atom; VASP energy = -17.851 eV/atom; calculated volume = 21 Å³ per cell; space-group type = P-6m2, No. 187; formation enthalpy at 0 K = 0.41 eV per atom
1.0
-1.268 2.110 0.083
-1.114 -2.128 0.545
1.006 0.455 3.829
Cr Fe
1 1
direct
0.000 0.000 0.000
0.667 0.333 0.500



# 8
CrFe, PBEsol geometry, DFT SCAN; spin magnetization = 0.9737 μB per atom; VASP energy = -18.153 eV/atom; calculated volume = 22 Å³ per cell; space-group type = Cmmm, No. 65; formation enthalpy at 0 K = 0.10 eV per atom
1.0
2.393 -0.004 0.000
-0.677 2.295 0.000
0.000 0.000 3.938
Cr Fe
1 1
direct
0.000 0.000 0.000
0.500 0.500 0.500